Entry 1:
Density functional theory data (GGA-PBEsol) for a geometry-optimized NiTe5 structure.

a b c (Å): 6.940 6.940 3.780
angles (deg): 90.00 90.00 120.00
Sites, in units of the cell vectors:
Ni 0.000 0.000 0.000
Te 0.000 0.738 0.500
Te 0.262 0.262 0.500
Te 0.333 0.667 0.000
Te 0.667 0.333 0.000
Te 0.738 0.000 0.500

Output
size of the total moment: 0.00 μB per atom
formation energy from raw total energies: 11 kJ per mole of atoms

=====

Entry 2:
Density functional theory data (GGA-PBEsol) for a geometry-optimized MnAlS2 structure.

a b c (Å): 7.422 7.422 7.422
angles (deg): 26.93 26.93 26.93
Sites, in units of the cell vectors:
Mn 0.000 0.000 0.000
Al 0.500 0.500 0.500
S 0.105 0.105 0.105
S 0.895 0.895 0.895

Output
size of the total moment: 1.00 μB per atom
formation energy from raw total energies: -49 kJ per mole of atoms